Entry 1:
# SmYCoI | Alexandria | PBE | relaxed
data_SmYCoI
_space_group_name_H-M_alt 'R 3 m'
_space_group_IT_number 160
_space_group_name_Hall 'R 3 -2"'
_cell_length_a 3.9902
_cell_length_b 3.9902
_cell_length_c 23.8880
_cell_angle_alpha 90.00
_cell_angle_beta 90.00
_cell_angle_gamma 120.00
loop_
_atom_site_label
_atom_site_type_symbol
_atom_site_fract_x
_atom_site_fract_y
_atom_site_fract_z
Sm1 Sm 0.0000 0.0000 0.0000
Y1 Y 0.0000 0.0000 0.2135
Co1 Co 0.0000 0.0000 0.6065
I1 I 0.0000 0.0000 0.7769
# Calculated volume (Å³ per cell): 329
# Uncorrected energy (eV/atom): -5.520
# Total magnetization (μB per cell): 0.00
# Formation energy (no corrections) (kJ/mol of formula units): -216.2

Entry 2:
# CeTmInSn | Alexandria | PBE | relaxed
data_CeTmInSn
_space_group_name_H-M_alt 'P m m m'
_space_group_IT_number 47
_space_group_name_Hall '-P 2 2'
_cell_length_a 4.466
_cell_length_b 4.881
_cell_length_c 4.924
_cell_angle_alpha 90.00
_cell_angle_beta 90.00
_cell_angle_gamma 90.00
loop_
_atom_site_label
_atom_site_type_symbol
_atom_site_fract_x
_atom_site_fract_y
_atom_site_fract_z
Ce1 Ce 0.000 0.000 0.000
Tm1 Tm 0.000 0.500 0.500
In1 In 0.500 0.000 0.500
Sn1 Sn 0.500 0.500 0.000
# Energy above the most stable polymorph in this dataset (eV/atom): 0.000
# Calculated volume (Å³ per cell): 107
# Uncorrected energy (eV/atom): -4.779
# Total magnetization (μB per cell): 1.03
# Formation energy from the elements (eV per formula unit): -1.971

Entry 3:
# TeP4Br | Alexandria | PBE | relaxed
data_TeP4Br
_space_group_name_H-M_alt 'F -4 3 m'
_space_group_IT_number 216
_space_group_name_Hall 'F -4 2 3'
_cell_length_a 8.356
_cell_length_b 8.356
_cell_length_c 8.356
_cell_angle_alpha 90.00
_cell_angle_beta 90.00
_cell_angle_gamma 90.00
loop_
_atom_site_label
_atom_site_type_symbol
_atom_site_fract_x
_atom_site_fract_y
_atom_site_fract_z
Te1 Te 0.000 0.000 0.000
P1 P 0.094 0.094 0.406
Br1 Br 0.250 0.250 0.750
# Calculated volume (Å³ per cell): 583
# Uncorrected energy (eV/atom): -3.991
# Total magnetization (μB per cell): 0.00
# Formation energy (no corrections) (kJ/mol of formula units): 241.9

- What is the uncorrected energy in the third record?
  -3.991 eV/atom